Material: MgAlNiO2
Method: DFT, PBE with a Hubbard U
State: optimized geometry

Cell: 3.657 3.657 4.595 Å, 90.00 90.00 90.00°
Space group P4/mmm (No. 123)
Unique sites:
Mg  0.000  0.000  0.000
Al  0.500  0.500  0.500
Ni  0.500  0.500  0.000
O  0.000  0.500  0.500

Summary:
**Electronic total energy**: -0.312 Ry/atom
**Density of states at the Fermi level**: 1.7 states/eV/cell